A relaxed CoRe2Ru crystal, computed with PBE-GGA.

Cell: 2.698 2.698 7.534 Å, 90.00 90.00 90.00°
Element x y z (fractional)
Co  0.000  0.000  0.000
Re  0.000  0.000  0.506
Re  0.500  0.500  0.222
Ru  0.500  0.500  0.750

Calculated values
- relative energy among the computed polymorphs (eV per atom) = 0.1454
- symmetry = P4mm (99)
- formation enthalpy at 0 K (eV/atom) = 0.09
- energy (eV for the cell shown) = -40.93
- N(E_F) (states/eV/f.u.) = 4.14

***

A relaxed CdCu2Si2 crystal, computed with PBE-GGA.

Cell: 7.754 7.754 2.587 Å, 90.00 90.00 90.00°
Element x y z (fractional)
Cd  0.000  0.000  0.000
Cd  0.500  0.500  0.000
Cu  0.158  0.342  0.000
Cu  0.342  0.842  0.000
Cu  0.658  0.158  0.000
Cu  0.842  0.658  0.000
Si  0.135  0.635  0.500
Si  0.365  0.135  0.500
Si  0.635  0.865  0.500
Si  0.865  0.365  0.500

Calculated values
- relative energy among the computed polymorphs (eV per atom) = 0.1272
- symmetry = P4/mbm (127)
- energy (eV for the cell shown) = -37.36
- N(E_F) (states/eV/f.u.) = 1.84

***

A relaxed Ce6TlSn3 crystal, computed with PBE-GGA.

Cell: 5.967 9.046 12.017 Å, 90.00 119.51 90.00°
Element x y z (fractional)
Ce  0.024  0.147  0.053
Ce  0.024  0.353  0.553
Ce  0.417  0.144  0.451
Ce  0.417  0.356  0.951
Ce  0.464  0.628  0.247
Ce  0.464  0.872  0.747
Ce  0.536  0.128  0.253
Ce  0.536  0.372  0.753
Ce  0.583  0.644  0.049
Ce  0.583  0.856  0.549
Ce  0.976  0.647  0.447
Ce  0.976  0.853  0.947
Tl  0.500  0.000  0.000
Tl  0.500  0.500  0.500
Sn  0.000  0.000  0.500
Sn  0.000  0.500  0.000
Sn  0.059  0.617  0.751
Sn  0.059  0.883  0.251
Sn  0.941  0.117  0.749
Sn  0.941  0.383  0.249

Calculated values
- symmetry = P2_1/c (14)
- formation enthalpy at 0 K (eV/atom) = -0.30
- energy (eV for the cell shown) = -105.98
- N(E_F) (states/eV/f.u.) = 24.52

***

A relaxed Mn3AlH crystal, computed with PBE-GGA.

Cell: 2.646 6.444 6.444 Å, 45.23 90.00 90.00°
Element x y z (fractional)
Mn  0.000  0.000  0.000
Mn  0.500  0.143  0.612
Mn  0.500  0.612  0.143
Al  0.500  0.182  0.182
H  0.000  0.835  0.835

Calculated values
- symmetry = Amm2 (38)
- energy (eV for the cell shown) = -31.56
- N(E_F) (states/eV/f.u.) = 4.40